No. 1
NaTmMnF6 | the Alexandria database | GGA+U | optimized geometry; crystal system = tetragonal
1.0
5.108 0.000 0.000
0.000 5.108 0.000
0.000 0.000 10.280
F Na Mn Tm
12 2 2 2
direct
0.684 0.684 0.999 F
0.798 0.202 0.822 F
0.796 0.204 0.180 F
0.816 0.184 0.499 F
0.202 0.798 0.822 F
0.704 0.704 0.680 F
0.702 0.702 0.322 F
0.298 0.298 0.322 F
0.184 0.816 0.499 F
0.316 0.316 0.999 F
0.204 0.796 0.180 F
0.296 0.296 0.680 F
0.500 0.500 0.499 Na
0.000 0.000 0.999 Na
0.500 0.500 0.167 Mn
0.000 0.000 0.667 Mn
0.000 0.000 0.333 Tm
0.500 0.500 0.833 Tm

***

No. 2
NaMn2VF8 | the Alexandria database | GGA+U | optimized geometry; crystal system = monoclinic
1.0
-1.140 -3.370 -3.419
0.038 -3.527 3.451
-6.511 1.047 1.140
F V Mn Na
8 1 2 1
direct
0.292 0.292 0.000 F
0.804 0.194 0.787 F
0.804 0.194 0.213 F
0.196 0.806 0.213 F
0.708 0.708 0.000 F
0.686 0.685 0.500 F
0.196 0.806 0.787 F
0.314 0.315 0.500 F
0.000 0.000 0.000 V
0.500 0.500 0.253 Mn
0.500 0.500 0.747 Mn
0.000 0.000 0.500 Na

***

No. 3
NaMnVF2 | the Alexandria database | GGA+U | optimized geometry; crystal system = tetragonal
1.0
-2.317 -1.497 3.116
-1.391 -3.031 -2.490
4.068 -3.120 1.526
V F Na Mn
1 2 1 1
direct
0.500 0.500 0.500 V
0.500 0.000 0.000 F
0.000 0.500 0.000 F
0.000 0.000 0.000 Na
0.000 0.000 0.500 Mn

***

No. 4
NaMnWF2 | the Alexandria database | GGA+U | optimized geometry; crystal system = tetragonal
1.0
4.233 0.000 0.000
0.000 5.187 0.000
0.000 0.000 4.233
F W Mn Na
2 1 1 1
direct
0.500 0.000 0.000 F
0.000 0.000 0.500 F
0.000 0.500 0.000 W
0.000 0.000 0.000 Mn
0.500 0.500 0.500 Na

***

No. 5
Na2YMnF | the Alexandria database | GGA+U | optimized geometry; crystal system = tetragonal
1.0
6.336 0.000 0.000
0.000 3.895 0.000
0.000 0.000 6.336
Y Na Mn F
1 2 1 1
direct
0.500 0.500 0.500 Y
0.000 0.000 0.500 Na
0.500 0.000 0.000 Na
0.000 0.000 0.000 Mn
0.000 0.500 0.000 F

***

No. 6
NaYMnF6 | the Alexandria database | GGA+U | optimized geometry; crystal system = trigonal
1.0
5.814 0.000 0.000
-2.907 5.035 0.000
0.000 0.000 9.501
F Na Mn Y
12 2 2 2
direct
0.993 0.644 0.866 F
0.356 0.350 0.866 F
0.007 0.650 0.366 F
0.350 0.993 0.134 F
0.644 0.993 0.366 F
0.993 0.350 0.634 F
0.650 0.644 0.634 F
0.350 0.356 0.366 F
0.356 0.007 0.634 F
0.644 0.650 0.134 F
0.650 0.007 0.866 F
0.007 0.356 0.134 F
0.000 0.000 0.000 Na
0.000 0.000 0.500 Na
0.667 0.333 0.750 Mn
0.333 0.667 0.250 Mn
0.333 0.667 0.750 Y
0.667 0.333 0.250 Y

***

No. 7
NaMnZnF6 | the Alexandria database | GGA+U | optimized geometry; crystal system = tetragonal
1.0
-1.920 3.589 2.660
-2.414 -3.269 2.669
7.375 -0.523 6.029
Na Zn F Mn
2 2 12 2
direct
0.500 0.500 0.499 Na
0.000 0.000 0.999 Na
0.500 0.500 0.170 Zn
0.000 0.000 0.670 Zn
0.177 0.823 0.490 F
0.323 0.323 0.990 F
0.283 0.283 0.321 F
0.199 0.801 0.188 F
0.783 0.217 0.821 F
0.801 0.199 0.188 F
0.699 0.699 0.688 F
0.217 0.783 0.821 F
0.717 0.717 0.321 F
0.823 0.177 0.490 F
0.301 0.301 0.688 F
0.677 0.677 0.990 F
0.500 0.500 0.833 Mn
0.000 0.000 0.333 Mn

***

No. 8
NaMn2ZnF6 | the Alexandria database | GGA+U | optimized geometry; crystal system = trigonal
1.0
-1.925 5.323 -0.834
-4.163 0.975 -3.801
-5.381 1.436 1.956
F Na Mn Zn
6 1 2 1
direct
0.650 0.240 0.230 F
0.737 0.149 0.733 F
0.149 0.381 0.734 F
0.880 0.650 0.230 F
0.381 0.737 0.733 F
0.239 0.879 0.231 F
0.800 0.800 0.600 Na
0.020 0.020 0.941 Mn
0.515 0.515 0.454 Mn
0.290 0.290 0.129 Zn

***

Uncorrected energy for every record listed, in sequence, given in eV per cell: -109.6, -72.0, -22.8, -18.7, -19.2, -112.2, -84.9, -52.2.